Density functional theory data (GGA-PBE) for a geometry-optimized Dy3SbTe2 structure.

Space-group type: P-3m1, No. 164
Final energy, eV/atom: -5.30

Cell lengths 4.370, 4.370, 10.650 Å; angles 90.00, 90.00, 120.00 degrees
Element x y z (fractional)
1 Dy 0.000 0.000 0.000
2 Dy 0.333 0.667 0.660
3 Dy 0.667 0.333 0.340
4 Sb 0.000 0.000 0.500
5 Te 0.333 0.667 0.167
6 Te 0.667 0.333 0.833